Here is AgHg2P after structural relaxation from Alexandria via LeMat-Bulk. Energies are from PBE.

Cell and atoms, written as extended XYZ:
```
4
Lattice="-5.5429 -3.9125 -0.5273 -4.3054 -4.1318 3.2713 -6.4208 -0.9683 2.0360" Properties=species:S:1:pos:R:3 pbc="T T T"
P -4.0673 -2.2531 1.1950
Ag -12.2019 -6.7594 3.5850
Hg -8.2452 -4.5676 2.4225
Hg -16.1585 -8.9512 4.7475
```

## Properties
The calculation puts the total magnetization at 0.000 μB/atom. As for the formation energy: 346 meV/atom. Its uncorrected energy is -1.87 eV per atom.